Crystalline PaTe3Pd2 at its relaxed geometry, computed with PBE-GGA. Values from VASP.

```
&SYSTEM
  ibrav = 0, nat = 12, ntyp = 3
/
ATOMIC_SPECIES
Pa 231.04 Pa.upf
Te 127.60 Te.upf
Pd 106.42 Pd.upf
ATOMIC_POSITIONS angstrom
Pa 1.261 1.064 2.088
Pa 4.263 3.191 8.393
Te -0.317 3.191 3.571
Te -0.034 3.191 10.419
Te 1.657 3.191 6.906
Te 3.866 1.064 3.575
Te 5.557 1.064 0.063
Te 5.840 1.064 6.910
Pd -1.705 1.064 9.671
Pd 2.393 3.191 4.278
Pd 3.130 1.064 6.203
Pd 7.228 3.191 0.810
CELL_PARAMETERS angstrom
7.770 0.000 0.000
0.000 4.255 0.000
-2.247 0.000 10.481
```

Computed properties:
- VASP energy: -5.5067 eV/atom
- Energy relative to the elements, uncorrected: -0.622 eV per atom
- Total magnetic moment: 0.000 μB per atom